No. 1
Computed, not measured: an optimized crystal structure of Sm6Er2Tm3Mg at the GGA-PBE level of DFT.

extended XYZ file:
```
12
Lattice="6.158 -0.003 0.002 -3.080 5.333 0.002 -1.036 -1.794 11.461" Properties=species:S:1:pos:R:3 pbc="T T T"
Sm 3.071 1.766 8.606
Sm 2.048 3.547 2.875
Sm -1.029 1.770 2.860
Sm -0.006 3.543 8.606
Sm -0.006 -0.011 8.591
Sm 2.048 -0.007 2.860
Er 0.002 3.553 0.002
Er 3.076 1.777 0.002
Tm -2.060 3.548 5.733
Tm 4.103 -0.012 5.733
Tm 1.021 1.768 5.733
Mg 0.000 0.000 0.000
```

Calculated values
crystal system	monoclinic
E	-52.1	eV/cell
total moment	0.0	μB/cell
space group	No. 12

No. 2
Computed, not measured: an optimized crystal structure of Sm6Er3Tm2Mg at the GGA-PBE level of DFT.

extended XYZ file:
```
12
Lattice="-1.598 5.366 -2.582 -4.356 -3.904 1.948 2.124 4.511 10.524" Properties=species:S:1:pos:R:3 pbc="T T T"
Sm -2.416 6.034 6.682
Sm -3.930 2.219 2.148
Sm -1.414 -0.062 3.209
Sm -3.336 2.945 8.192
Sm 0.099 3.754 7.743
Sm -0.495 3.028 1.699
Er -2.835 -0.106 6.456
Er -0.995 6.079 3.434
Er -1.915 2.986 4.945
Tm -3.436 -0.812 0.437
Tm -2.518 2.274 -1.071
Mg 0.000 0.000 0.000
```

Calculated values
crystal system	monoclinic
E	-52.2	eV/cell
total moment	0.0	μB/cell
space group	No. 12

No. 3
Computed, not measured: an optimized crystal structure of Sm2Er6Tm3Mg at the GGA-PBE level of DFT.

extended XYZ file:
```
12
Lattice="6.060 -0.003 0.000 -3.031 5.247 0.000 -1.018 -1.763 11.441" Properties=species:S:1:pos:R:3 pbc="T T T"
Sm 0.003 3.495 0.000
Sm 3.026 1.749 0.000
Er 3.022 1.748 8.559
Er 2.016 3.491 2.892
Er -1.011 1.734 2.882
Er 0.003 3.491 8.559
Er -0.006 -0.010 8.550
Er 2.007 -0.009 2.882
Tm -2.034 3.496 5.721
Tm 4.045 -0.015 5.721
Tm 1.005 1.741 5.721
Mg 0.000 0.000 0.000
```

Calculated values
crystal system	monoclinic
E	-51.5	eV/cell
total moment	0.0	μB/cell
space group	No. 12

No. 4
Computed, not measured: an optimized crystal structure of Sm2Er2Tm2Mg at the GGA-PBE level of DFT.

extended XYZ file:
```
7
Lattice="3.620 0.000 0.000 -1.810 5.798 -1.605 0.000 -2.672 11.157" Properties=species:S:1:pos:R:3 pbc="T T T"
Sm 1.810 -1.675 8.214
Sm 0.000 4.801 1.339
Er 1.810 1.864 0.388
Er 0.000 1.262 9.164
Tm 1.810 1.175 6.213
Tm 0.000 1.951 3.339
Mg 0.000 -1.336 5.579
```

Calculated values
crystal system	monoclinic
E	-28.5	eV/cell
total moment	0.0	μB/cell
space group	No. 12